Pm2NdY4Mg | PBE | relaxed

Summary:
E_form (meV per atom): 24.7
Electronic total energy (eV per atom): -5.190
Total moment (μB/f.u.): 0.00

Lattice parameters (Å, degrees): 5.014 5.014 10.240 90.00 90.00 90.00
Positions (direct):
Pm  0.000  0.000  0.000
Pm  0.500  0.500  0.500
Nd  0.000  0.000  0.500
Y  0.000  0.500  0.246
Y  0.000  0.500  0.754
Y  0.500  0.000  0.246
Y  0.500  0.000  0.754
Mg  0.500  0.500  0.000

Pm2Nd6YMg | PBE | relaxed

Summary:
E_form (meV per atom): 105.9
Electronic total energy (eV per atom): -4.511
Total moment (μB/f.u.): 0.00

Lattice parameters (Å, degrees): 9.094 9.094 9.346 92.32 92.32 118.39
Positions (direct):
Pm  0.179  0.287  0.452
Pm  0.287  0.179  0.952
Pm  0.713  0.821  0.048
Pm  0.821  0.713  0.548
Nd  0.000  0.225  0.105
Nd  0.000  0.775  0.895
Nd  0.070  0.495  0.704
Nd  0.225  0.000  0.605
Nd  0.282  0.638  0.052
Nd  0.362  0.718  0.448
Nd  0.495  0.070  0.204
Nd  0.505  0.930  0.796
Nd  0.638  0.282  0.552
Nd  0.718  0.362  0.948
Nd  0.775  0.000  0.395
Nd  0.930  0.505  0.296
Y  0.477  0.523  0.750
Y  0.523  0.477  0.250
Mg  0.079  0.921  0.250
Mg  0.921  0.079  0.750

Pm6Nd2YMg | PBE | relaxed

Summary:
E_form (meV per atom): 106.8
Electronic total energy (eV per atom): -4.503
Total moment (μB/f.u.): 0.00

Lattice parameters (Å, degrees): 9.074 9.074 9.290 92.19 92.19 118.46
Positions (direct):
Pm  0.004  0.428  0.795
Pm  0.141  0.783  0.553
Pm  0.217  0.859  0.947
Pm  0.273  0.500  0.397
Pm  0.428  0.004  0.295
Pm  0.500  0.273  0.897
Pm  0.500  0.727  0.103
Pm  0.572  0.996  0.705
Pm  0.727  0.500  0.603
Pm  0.783  0.141  0.053
Pm  0.859  0.217  0.447
Pm  0.996  0.572  0.205
Nd  0.214  0.324  0.048
Nd  0.324  0.214  0.548
Nd  0.676  0.786  0.452
Nd  0.786  0.676  0.952
Y  0.023  0.977  0.250
Y  0.977  0.023  0.750
Mg  0.421  0.579  0.750
Mg  0.579  0.421  0.250

PmNdYMg | PBE | relaxed

Summary:
Polymorph energy (0 for the lowest one) (meV/atom): 102
E_form (meV per atom): 61.9
Electronic total energy (eV per atom): -4.332
Total moment (μB/f.u.): 0.00

Lattice parameters (Å, degrees): 5.615 5.615 5.615 60.00 60.00 60.00
Positions (direct):
Pm  0.000  0.000  0.000
Nd  0.750  0.750  0.750
Y  0.250  0.250  0.250
Mg  0.500  0.500  0.500

Pm6Nd3Y2Mg | PBE | relaxed

Summary:
E_form (meV per atom): 25.7
Electronic total energy (eV per atom): -4.752
Total moment (μB/f.u.): 0.00

Lattice parameters (Å, degrees): 6.285 6.285 11.924 95.07 95.07 120.08
Positions (direct):
Pm  0.081  0.412  0.245
Pm  0.250  0.250  0.754
Pm  0.412  0.081  0.245
Pm  0.588  0.919  0.755
Pm  0.750  0.750  0.246
Pm  0.919  0.588  0.755
Nd  0.167  0.833  0.500
Nd  0.500  0.500  0.500
Nd  0.833  0.167  0.500
Y  0.334  0.666  0.000
Y  0.666  0.334  0.000
Mg  0.000  0.000  0.000

PmNdYMg | PBE | relaxed

Summary:
Polymorph energy (0 for the lowest one) (meV/atom): 0
E_form (meV per atom): -39.6
Electronic total energy (eV per atom): -4.434
Total moment (μB/f.u.): 0.00

Lattice parameters (Å, degrees): 3.696 3.696 9.176 90.00 90.00 90.00
Positions (direct):
Pm  0.000  0.000  0.000
Nd  0.500  0.500  0.276
Y  0.000  0.000  0.548
Mg  0.500  0.500  0.768

PmNd2Y2Mg | PBE | relaxed

Summary:
E_form (meV per atom): 442.8
Electronic total energy (eV per atom): -4.359
Total moment (μB/f.u.): 0.00

Lattice parameters (Å, degrees): 10.511 11.980 3.625 90.00 90.00 90.00
Positions (direct):
Pm  0.000  0.000  0.000
Pm  0.500  0.500  0.500
Nd  0.089  0.227  0.500
Nd  0.411  0.727  0.000
Nd  0.589  0.273  0.000
Nd  0.911  0.773  0.500
Y  0.244  0.435  0.000
Y  0.256  0.935  0.500
Y  0.744  0.065  0.500
Y  0.756  0.565  0.000
Mg  0.000  0.500  0.500
Mg  0.500  0.000  0.000

Pm2Nd3Y6Mg | PBE | relaxed

Summary:
E_form (meV per atom): 21.8
Electronic total energy (eV per atom): -5.327
Total moment (μB/f.u.): 0.00

Lattice parameters (Å, degrees): 6.218 6.218 11.882 95.02 95.02 120.01
Positions (direct):
Pm  0.166  0.834  0.000
Pm  0.834  0.166  0.000
Nd  0.000  0.000  0.500
Nd  0.334  0.666  0.500
Nd  0.666  0.334  0.500
Y  0.087  0.418  0.753
Y  0.251  0.251  0.248
Y  0.418  0.087  0.753
Y  0.582  0.913  0.247
Y  0.749  0.749  0.752
Y  0.913  0.582  0.247
Mg  0.500  0.500  0.000

Pm6Nd2Y3Mg | PBE | relaxed

Summary:
E_form (meV per atom): 11.8
Electronic total energy (eV per atom): -4.907
Total moment (μB/f.u.): 0.00

Lattice parameters (Å, degrees): 6.253 6.253 11.908 95.04 95.04 120.04
Positions (direct):
Pm  0.083  0.414  0.751
Pm  0.248  0.248  0.248
Pm  0.414  0.083  0.751
Pm  0.586  0.917  0.249
Pm  0.752  0.752  0.752
Pm  0.917  0.586  0.249
Nd  0.333  0.667  0.500
Nd  0.667  0.333  0.500
Y  0.166  0.834  0.000
Y  0.500  0.500  0.000
Y  0.834  0.166  0.000
Mg  0.000  0.000  0.500

Pm2Nd2Y2Mg | PBE | relaxed

Summary:
E_form (meV per atom): 83.1
Electronic total energy (eV per atom): -4.711
Total moment (μB/f.u.): 0.00

Lattice parameters (Å, degrees): 6.180 6.180 11.870 111.54 111.54 33.55
Positions (direct):
Pm  0.236  0.236  0.362
Pm  0.764  0.764  0.638
Nd  0.452  0.452  0.239
Nd  0.548  0.548  0.761
Y  0.331  0.331  0.917
Y  0.669  0.669  0.083
Mg  0.000  0.000  0.500

Pm2NdY6Mg | PBE | relaxed

Summary:
E_form (meV per atom): 109.1
Electronic total energy (eV per atom): -5.356
Total moment (μB/f.u.): 0.00

Lattice parameters (Å, degrees): 8.667 8.667 9.718 94.98 94.98 115.72
Positions (direct):
Pm  0.201  0.295  0.055
Pm  0.295  0.201  0.555
Pm  0.705  0.799  0.445
Pm  0.799  0.705  0.945
Nd  0.017  0.983  0.250
Nd  0.983  0.017  0.750
Y  0.008  0.569  0.188
Y  0.118  0.745  0.555
Y  0.255  0.882  0.945
Y  0.304  0.509  0.389
Y  0.431  0.992  0.312
Y  0.491  0.696  0.111
Y  0.509  0.304  0.889
Y  0.569  0.008  0.688
Y  0.696  0.491  0.611
Y  0.745  0.118  0.055
Y  0.882  0.255  0.445
Y  0.992  0.431  0.812
Mg  0.402  0.598  0.750
Mg  0.598  0.402  0.250

PrNdMg | PBE | relaxed

Summary:
Polymorph energy (0 for the lowest one) (meV/atom): 2
E_form (meV per atom): -56.3
Electronic total energy (eV per atom): -3.770
Total moment (μB/f.u.): 0.00

Lattice parameters (Å, degrees): 7.172 7.172 7.172 149.28 149.28 44.00
Positions (direct):
Pr  0.000  0.000  0.000
Nd  0.688  0.688  0.000
Mg  0.343  0.343  0.000